First-principles (PBE) data for a relaxed structure of La5Pr3Dy3, as listed in the Alexandria database.

Cell and atoms, written as CIF:
```
data_La5Pr3Dy3
_chemical_formula_sum 'La5 Pr3 Dy3'
_space_group_name_H-M_alt 'P -6 2 m'
_space_group_IT_number 189
_space_group_name_Hall 'P -6 -2'
_cell_length_a 11.5601
_cell_length_b 11.5601
_cell_length_c 3.4942
_cell_angle_alpha 90.00
_cell_angle_beta 90.00
_cell_angle_gamma 120.00
loop_
_atom_site_label
_atom_site_type_symbol
_atom_site_fract_x
_atom_site_fract_y
_atom_site_fract_z
_atom_site_occupancy
La1 La 0.0000 0.6636 0.0000 1
La2 La 0.3333 0.6667 0.0000 1
Pr1 Pr 0.0000 0.4011 0.5000 1
Dy1 Dy 0.0000 0.1585 0.0000 1
```

Computed properties:
The value obtained for the formation energy is 0.28 eV per atom. The value obtained for the magnetic moment is 0.000 μB per formula unit.

=====

First-principles (PBE) data for a relaxed structure of LaPrDy6, as listed in the Alexandria database.

Cell and atoms, written as CIF:
```
data_LaPrDy6
_chemical_formula_sum 'La2 Pr2 Dy12'
_space_group_name_H-M_alt 'C 1 2/m 1'
_space_group_IT_number 12
_cell_length_a 10.3667
_cell_length_b 6.7477
_cell_length_c 8.5469
_cell_angle_alpha 90.00
_cell_angle_beta 104.90
_cell_angle_gamma 90.00
loop_
_space_group_symop_operation_xyz
'x,y,z'
'-x,-y,-z'
'-x,y,-z'
'x,-y,z'
'x+1/2,y+1/2,z'
'-x+1/2,-y+1/2,-z'
'-x+1/2,y+1/2,-z'
'x+1/2,-y+1/2,z'
loop_
_atom_site_label
_atom_site_type_symbol
_atom_site_fract_x
_atom_site_fract_y
_atom_site_fract_z
_atom_site_occupancy
La1 La 0.0000 0.0000 0.0000 1
Pr1 Pr 0.0000 0.0000 0.5000 1
Dy1 Dy 0.1233 0.5000 0.4214 1
Dy2 Dy 0.1995 0.2598 0.7988 1
```

Computed properties:
The value obtained for the formation energy is 0.37 eV per atom. The value obtained for the magnetic moment is 0.000 μB per formula unit. The calculation puts the distance to the lowest polymorph of the same formula at 0.339 eV/atom.